No. 1
BeZnCd2 after structural relaxation, computed with PBE-GGA.

Computed properties:
DOS at the Fermi energy = 0.177 states/eV per atom
Energy of formation = 0.331 eV per atom
Polymorph energy (0 for the lowest one) = 117 meV per atom
Total magnetic moment = 0.00 μB per cell

Cell and atoms, written as POSCAR:
```
BeZnCd2
1.0
1.534 0.886 8.628
-1.534 0.886 8.628
0.000 -1.771 8.628
Be Zn Cd
1 1 2
Direct
0.000 0.000 0.000
0.500 0.500 0.500
0.259 0.259 0.259
0.741 0.741 0.741
```



No. 2
Be2ZnCd after structural relaxation, computed with PBE-GGA.

Computed properties:
DOS at the Fermi energy = 0.292 states/eV per atom
Energy of formation = 0.470 eV per atom
Polymorph energy (0 for the lowest one) = 170 meV per atom
Total magnetic moment = 0.00 μB per cell

Cell and atoms, written as POSCAR:
```
Be2ZnCd
1.0
2.715 0.000 0.000
0.000 4.139 0.000
0.000 0.000 5.049
Be Zn Cd
2 1 1
Direct
0.000 0.000 0.000
0.500 0.000 0.500
0.000 0.500 0.500
0.500 0.500 0.000
```



No. 3
Be2ZnCd after structural relaxation, computed with PBE-GGA.

Computed properties:
DOS at the Fermi energy = 0.229 states/eV per atom
Energy of formation = 0.413 eV per atom
Polymorph energy (0 for the lowest one) = 113 meV per atom
Total magnetic moment = 0.00 μB per cell

Cell and atoms, written as POSCAR:
```
Be2ZnCd
1.0
2.879 0.000 0.000
0.000 4.041 0.000
-0.459 0.000 4.914
Be Zn Cd
2 1 1
Direct
0.221 0.000 0.309
0.779 0.000 0.691
0.500 0.500 0.500
0.000 0.500 0.000
```



No. 4
BeZn3Cd after structural relaxation, computed with PBE-GGA.

Computed properties:
DOS at the Fermi energy = 0.424 states/eV per atom
Energy of formation = 0.984 eV per atom
Polymorph energy (0 for the lowest one) = 711 meV per atom
Total magnetic moment = 0.00 μB per cell

Cell and atoms, written as POSCAR:
```
BeZn3Cd
1.0
5.031 0.000 0.000
0.000 5.031 0.000
0.000 0.000 5.031
Be Zn Cd
1 3 1
Direct
0.000 0.000 0.000
0.000 0.500 0.500
0.500 0.000 0.500
0.500 0.500 0.000
0.500 0.500 0.500
```



No. 5
BeZnCd2 after structural relaxation, computed with PBE-GGA.

Computed properties:
DOS at the Fermi energy = 0.348 states/eV per atom
Energy of formation = 0.345 eV per atom
Polymorph energy (0 for the lowest one) = 131 meV per atom
Total magnetic moment = 0.00 μB per cell

Cell and atoms, written as POSCAR:
```
BeZnCd2
1.0
-2.113 2.113 3.832
2.113 -2.113 3.832
2.113 2.113 -3.832
Be Zn Cd
1 1 2
Direct
0.000 0.000 0.000
0.500 0.500 0.000
0.250 0.750 0.500
0.750 0.250 0.500
```



No. 6
Be2ZnCd after structural relaxation, computed with PBE-GGA.

Computed properties:
DOS at the Fermi energy = 0.173 states/eV per atom
Energy of formation = 0.304 eV per atom
Polymorph energy (0 for the lowest one) = 4 meV per atom
Total magnetic moment = 0.00 μB per cell

Cell and atoms, written as POSCAR:
```
Be2ZnCd
1.0
2.741 0.000 0.000
0.000 2.741 0.000
0.000 0.000 7.241
Be Zn Cd
2 1 1
Direct
0.000 0.000 0.000
0.500 0.500 0.164
0.500 0.500 0.781
0.000 0.000 0.441
```



No. 7
BeZn2Cd2 after structural relaxation, computed with PBE-GGA.

Computed properties:
DOS at the Fermi energy = 0.323 states/eV per atom
Energy of formation = 0.284 eV per atom
Polymorph energy (0 for the lowest one) = 0 meV per atom
Total magnetic moment = 0.00 μB per cell

Cell and atoms, written as POSCAR:
```
BeZn2Cd2
1.0
6.332 0.000 0.000
0.000 6.332 0.000
0.000 0.000 4.369
Be Zn Cd
2 4 4
Direct
0.000 0.000 0.000
0.500 0.500 0.000
0.151 0.349 0.000
0.349 0.849 0.000
0.651 0.151 0.000
0.849 0.651 0.000
0.167 0.667 0.500
0.333 0.167 0.500
0.667 0.833 0.500
0.833 0.333 0.500
```



No. 8
BeZnCd2 after structural relaxation, computed with PBE-GGA.

Computed properties:
DOS at the Fermi energy = 0.190 states/eV per atom
Energy of formation = 0.350 eV per atom
Polymorph energy (0 for the lowest one) = 136 meV per atom
Total magnetic moment = 0.00 μB per cell

Cell and atoms, written as POSCAR:
```
BeZnCd2
1.0
2.843 -4.531 0.000
2.843 4.531 0.000
-1.419 0.000 2.798
Be Zn Cd
1 1 2
Direct
0.000 0.000 0.000
0.500 0.500 0.000
0.000 0.500 0.000
0.500 0.000 0.000
```



No. 9
BeZnCd2 after structural relaxation, computed with PBE-GGA.

Computed properties:
DOS at the Fermi energy = 0.134 states/eV per atom
Energy of formation = 0.303 eV per atom
Polymorph energy (0 for the lowest one) = 89 meV per atom
Total magnetic moment = 0.00 μB per cell

Cell and atoms, written as POSCAR:
```
BeZnCd2
1.0
2.992 0.000 0.000
0.000 2.992 0.000
0.000 0.000 7.636
Be Zn Cd
1 1 2
Direct
0.000 0.000 0.000
0.000 0.000 0.500
0.500 0.500 0.219
0.500 0.500 0.781
```



No. 10
Be2ZnCd2 after structural relaxation, computed with PBE-GGA.

Computed properties:
DOS at the Fermi energy = 0.361 states/eV per atom
Energy of formation = 0.349 eV per atom
Polymorph energy (0 for the lowest one) = 0 meV per atom
Total magnetic moment = 0.00 μB per cell

Cell and atoms, written as POSCAR:
```
Be2ZnCd2
1.0
6.224 0.000 0.000
0.000 6.224 0.000
0.000 0.000 3.968
Be Zn Cd
4 2 4
Direct
0.130 0.370 0.000
0.370 0.870 0.000
0.630 0.130 0.000
0.870 0.630 0.000
0.000 0.000 0.000
0.500 0.500 0.000
0.170 0.670 0.500
0.330 0.170 0.500
0.670 0.830 0.500
0.830 0.330 0.500
```



No. 11
Be2ZnCd after structural relaxation, computed with PBE-GGA.

Computed properties:
DOS at the Fermi energy = 0.180 states/eV per atom
Energy of formation = 0.443 eV per atom
Polymorph energy (0 for the lowest one) = 143 meV per atom
Total magnetic moment = 0.00 μB per cell

Cell and atoms, written as POSCAR:
```
Be2ZnCd
1.0
2.655 -4.178 0.000
2.655 4.178 0.000
-1.353 0.000 2.578
Be Zn Cd
2 1 1
Direct
0.000 0.500 0.000
0.500 0.000 0.000
0.000 0.000 0.000
0.500 0.500 0.000
```



No. 12
Be2ZnCd2 after structural relaxation, computed with PBE-GGA.

Computed properties:
DOS at the Fermi energy = 0.282 states/eV per atom
Energy of formation = 0.491 eV per atom
Polymorph energy (0 for the lowest one) = 142 meV per atom
Total magnetic moment = 0.00 μB per cell

Cell and atoms, written as POSCAR:
```
Be2ZnCd2
1.0
7.741 0.000 0.000
0.000 7.741 0.000
0.000 0.000 2.717
Be Zn Cd
4 2 4
Direct
0.165 0.335 0.000
0.335 0.835 0.000
0.665 0.165 0.000
0.835 0.665 0.000
0.000 0.000 0.500
0.500 0.500 0.500
0.138 0.638 0.500
0.362 0.138 0.500
0.638 0.862 0.500
0.862 0.362 0.500
```



No. 13
Be2ZnCd after structural relaxation, computed with PBE-GGA.

Computed properties:
DOS at the Fermi energy = 0.171 states/eV per atom
Energy of formation = 0.364 eV per atom
Polymorph energy (0 for the lowest one) = 64 meV per atom
Total magnetic moment = 0.00 μB per cell

Cell and atoms, written as POSCAR:
```
Be2ZnCd
1.0
3.082 0.000 0.000
0.000 3.082 0.000
0.000 0.000 5.582
Be Zn Cd
2 1 1
Direct
0.000 0.000 0.207
0.000 0.000 0.793
0.500 0.500 0.000
0.500 0.500 0.500
```



No. 14
BeZnCd2 after structural relaxation, computed with PBE-GGA.

Computed properties:
DOS at the Fermi energy = 0.292 states/eV per atom
Energy of formation = 0.352 eV per atom
Polymorph energy (0 for the lowest one) = 139 meV per atom
Total magnetic moment = 0.00 μB per cell

Cell and atoms, written as POSCAR:
```
BeZnCd2
1.0
3.121 0.000 0.000
0.000 4.518 0.000
-0.660 0.000 5.108
Be Zn Cd
1 1 2
Direct
0.000 0.000 0.000
0.500 0.000 0.500
0.241 0.500 0.243
0.759 0.500 0.757
```



No. 15
Zr2BeCd after structural relaxation, computed with PBE-GGA.

Computed properties:
DOS at the Fermi energy = 1.158 states/eV per atom
Energy of formation = 0.092 eV per atom
Polymorph energy (0 for the lowest one) = 179 meV per atom
Total magnetic moment = 0.00 μB per cell

Cell and atoms, written as POSCAR:
```
Zr2BeCd
1.0
1.645 0.950 8.576
-1.645 0.950 8.576
0.000 -1.900 8.576
Zr Be Cd
2 1 1
Direct
0.235 0.235 0.235
0.765 0.765 0.765
0.500 0.500 0.500
0.000 0.000 0.000
```



No. 16
ZrBeCd2 after structural relaxation, computed with PBE-GGA.

Computed properties:
DOS at the Fermi energy = 0.731 states/eV per atom
Energy of formation = 0.251 eV per atom
Total magnetic moment = 0.00 μB per cell

Cell and atoms, written as POSCAR:
```
ZrBeCd2
1.0
-2.103 2.103 4.276
2.103 -2.103 4.276
2.103 2.103 -4.276
Zr Be Cd
1 1 2
Direct
0.000 0.000 0.000
0.500 0.500 0.000
0.250 0.750 0.500
0.750 0.250 0.500
```



No. 17
Zr4BeCd after structural relaxation, computed with PBE-GGA.

Computed properties:
DOS at the Fermi energy = 0.823 states/eV per atom
Energy of formation = 0.534 eV per atom
Total magnetic moment = 0.00 μB per cell

Cell and atoms, written as POSCAR:
```
Zr4BeCd
1.0
0.000 4.036 4.036
4.036 0.000 4.036
4.036 4.036 0.000
Zr Be Cd
4 1 1
Direct
0.125 0.125 0.125
0.125 0.125 0.626
0.125 0.626 0.125
0.626 0.125 0.125
0.750 0.750 0.750
0.500 0.500 0.500
```



No. 18
Zr2BeCd after structural relaxation, computed with PBE-GGA.

Computed properties:
DOS at the Fermi energy = 0.636 states/eV per atom
Energy of formation = 0.234 eV per atom
Polymorph energy (0 for the lowest one) = 320 meV per atom
Total magnetic moment = 0.00 μB per cell

Cell and atoms, written as POSCAR:
```
Zr2BeCd
1.0
1.640 0.947 8.721
-1.640 0.947 8.721
0.000 -1.893 8.721
Zr Be Cd
2 1 1
Direct
0.000 0.000 0.000
0.240 0.240 0.240
0.498 0.498 0.498
0.764 0.764 0.764
```



No. 19
ZrBeCd2 after structural relaxation, computed with PBE-GGA.

Computed properties:
DOS at the Fermi energy = 0.981 states/eV per atom
Energy of formation = 0.257 eV per atom
Total magnetic moment = 0.00 μB per cell

Cell and atoms, written as POSCAR:
```
ZrBeCd2
1.0
1.519 0.877 9.686
-1.519 0.877 9.686
0.000 -1.754 9.686
Zr Be Cd
1 1 2
Direct
0.000 0.000 0.000
0.741 0.741 0.741
0.240 0.240 0.240
0.478 0.478 0.478
```



No. 20
ZrBe3Cd after structural relaxation, computed with PBE-GGA.

Computed properties:
DOS at the Fermi energy = 1.383 states/eV per atom
Energy of formation = 1.593 eV per atom
Polymorph energy (0 for the lowest one) = 819 meV per atom
Total magnetic moment = 0.00 μB per cell

Cell and atoms, written as POSCAR:
```
ZrBe3Cd
1.0
4.718 0.000 0.000
0.000 4.718 0.000
0.000 0.000 4.718
Zr Be Cd
1 3 1
Direct
0.000 0.000 0.000
0.000 0.000 0.500
0.000 0.500 0.000
0.500 0.000 0.000
0.500 0.500 0.500
```



No. 21
ZrBeCd2 after structural relaxation, computed with PBE-GGA.

Computed properties:
DOS at the Fermi energy = 0.598 states/eV per atom
Energy of formation = 0.201 eV per atom
Total magnetic moment = 0.00 μB per cell

Cell and atoms, written as POSCAR:
```
ZrBeCd2
1.0
5.164 -1.446 0.000
5.164 1.446 0.000
-1.846 0.000 5.064
Zr Be Cd
1 1 2
Direct
0.000 0.000 0.000
0.259 0.259 0.888
0.567 0.567 0.550
0.790 0.790 0.338
```



No. 22
Zr2BeCd after structural relaxation, computed with PBE-GGA.

Computed properties:
DOS at the Fermi energy = 0.965 states/eV per atom
Energy of formation = 0.352 eV per atom
Polymorph energy (0 for the lowest one) = 439 meV per atom
Total magnetic moment = 0.00 μB per cell

Cell and atoms, written as POSCAR:
```
Zr2BeCd
1.0
-3.818 3.818 2.728
3.818 -3.818 2.728
3.818 3.818 -2.728
Zr Be Cd
4 2 2
Direct
0.093 0.625 0.968
0.375 0.343 0.468
0.657 0.125 0.032
0.875 0.907 0.532
0.000 0.000 0.000
0.750 0.250 0.500
0.250 0.750 0.500
0.500 0.500 0.000
```



No. 23
Zr2BeCd after structural relaxation, computed with PBE-GGA.

Computed properties:
DOS at the Fermi energy = 0.869 states/eV per atom
Energy of formation = 0.053 eV per atom
Polymorph energy (0 for the lowest one) = 139 meV per atom
Total magnetic moment = 0.00 μB per cell

Cell and atoms, written as POSCAR:
```
Zr2BeCd
1.0
4.400 0.000 0.000
0.000 4.400 0.000
0.000 0.000 3.961
Zr Be Cd
2 1 1
Direct
0.000 0.500 0.000
0.500 0.000 0.000
0.000 0.000 0.500
0.500 0.500 0.500
```



No. 24
ZrBeCd2 after structural relaxation, computed with PBE-GGA.

Computed properties:
DOS at the Fermi energy = 0.702 states/eV per atom
Energy of formation = 0.114 eV per atom
Total magnetic moment = 0.16 μB per cell

Cell and atoms, written as POSCAR:
```
ZrBeCd2
1.0
3.073 0.000 0.000
0.000 3.073 0.000
0.000 0.000 7.685
Zr Be Cd
1 1 2
Direct
0.000 0.000 0.000
0.000 0.000 0.500
0.500 0.500 0.294
0.500 0.500 0.706
```



No. 25
ZrBe3Cd after structural relaxation, computed with PBE-GGA.

Computed properties:
DOS at the Fermi energy = 0.351 states/eV per atom
Energy of formation = 0.774 eV per atom
Polymorph energy (0 for the lowest one) = 0 meV per atom
Total magnetic moment = 0.00 μB per cell

Cell and atoms, written as POSCAR:
```
ZrBe3Cd
1.0
4.298 0.000 0.000
0.000 4.298 0.000
0.000 0.000 4.298
Zr Be Cd
1 3 1
Direct
0.000 0.000 0.000
0.000 0.500 0.500
0.500 0.000 0.500
0.500 0.500 0.000
0.500 0.500 0.500
```



No. 26
ZrBeCd2 after structural relaxation, computed with PBE-GGA.

Computed properties:
DOS at the Fermi energy = 0.522 states/eV per atom
Energy of formation = 0.005 eV per atom
Total magnetic moment = 0.00 μB per cell

Cell and atoms, written as POSCAR:
```
ZrBeCd2
1.0
3.054 0.000 0.000
0.000 3.054 0.000
0.000 0.000 7.901
Zr Be Cd
1 1 2
Direct
0.000 0.000 0.000
0.500 0.500 0.210
0.000 0.000 0.409
0.500 0.500 0.702
```



No. 27
ZrBe4Cd after structural relaxation, computed with PBE-GGA.

Computed properties:
DOS at the Fermi energy = 0.300 states/eV per atom
Energy of formation = 0.124 eV per atom
Total magnetic moment = 0.00 μB per cell

Cell and atoms, written as POSCAR:
```
ZrBe4Cd
1.0
0.000 3.377 3.377
3.377 0.000 3.377
3.377 3.377 0.000
Zr Be Cd
1 4 1
Direct
0.000 0.000 0.000
0.101 0.633 0.633
0.633 0.101 0.633
0.633 0.633 0.101
0.633 0.633 0.633
0.250 0.250 0.250
```



No. 28
ZrBeCd2 after structural relaxation, computed with PBE-GGA.

Computed properties:
DOS at the Fermi energy = 0.470 states/eV per atom
Energy of formation = 0.154 eV per atom
Total magnetic moment = 0.00 μB per cell

Cell and atoms, written as POSCAR:
```
ZrBeCd2
1.0
3.066 0.000 0.000
0.000 4.410 0.000
-1.304 0.000 5.547
Zr Be Cd
1 1 2
Direct
0.000 0.000 0.000
0.500 0.000 0.500
0.367 0.500 0.727
0.633 0.500 0.273
```



No. 29
ZrBeCd2 after structural relaxation, computed with PBE-GGA.

Computed properties:
DOS at the Fermi energy = 0.898 states/eV per atom
Energy of formation = 0.330 eV per atom
Total magnetic moment = 0.00 μB per cell

Cell and atoms, written as POSCAR:
```
ZrBeCd2
1.0
-3.818 3.818 2.700
3.818 -3.818 2.700
3.818 3.818 -2.700
Zr Be Cd
2 2 4
Direct
0.000 0.000 0.000
0.750 0.250 0.500
0.250 0.750 0.500
0.500 0.500 0.000
0.190 0.625 0.065
0.375 0.440 0.565
0.560 0.125 0.935
0.875 0.810 0.435
```